## NaAc2Ho (PBE)

Data for a relaxed structure of NaAc2Ho.

abc: 3.803 3.803 39.998
angles: 90.00 90.00 120.00
Positions (direct):
Na (0.000, 0.000, 0.000)
Na (0.333, 0.667, 0.667)
Na (0.667, 0.333, 0.333)
Ac (0.000, 0.000, 0.093)
Ac (0.000, 0.000, 0.907)
Ac (0.333, 0.667, 0.574)
Ac (0.333, 0.667, 0.759)
Ac (0.667, 0.333, 0.241)
Ac (0.667, 0.333, 0.426)
Ho (0.000, 0.000, 0.500)
Ho (0.333, 0.667, 0.167)
Ho (0.667, 0.333, 0.833)

Results
Fermi-level density of states, states/eV/atom: 1.10
Excess energy over the best structure of this formula in the dataset, meV/atom: 70
Energy of formation from the pure elements, eV per atom: 0.15